Material: Si3BRu
Method: DFT, GGA-PBE
State: optimized geometry

The space group is Pm-3m (No. 221) and the conventional cell measures 4.0201, 4.0201 and 4.0201 Å, with angles of 90.00, 90.00 and 90.00 degrees. The inequivalent atoms are Si at (0.0000, 0.0000, 0.5000), B at (0.0000, 0.0000, 0.0000) and Ru at (0.5000, 0.5000, 0.5000).

The calculation puts the uncorrected energy at -5.71 eV per atom. As for the formation energy from raw total energies: 733 meV/atom. The distance to the lowest polymorph of the same formula comes out at 0.0 meV per atom. The density of states at the Fermi level comes out at 4.17 states/eV/cell.